Entry 1:
Entry from Alexandria via LeMat-Bulk: Sr2TaTl after structural relaxation (PBE).

Computed properties:
Space group: No. 12
Calculated formation energy (eV per atom): 0.7827
Energy relative to the lowest polymorph listed for this composition (meV per atom): 254
Raw total energy (eV/atom): -3.613

Lattice parameters (Å, degrees): 5.888 5.888 6.405 97.82 97.82 33.37
Sites, in units of the cell vectors:
Sr: 0.250 0.250 0.245
Sr: 0.750 0.750 0.755
Ta: 0.500 0.500 0.000
Tl: 0.000 0.000 0.500

***

Entry 2:
Entry from Alexandria via LeMat-Bulk: USi2Tc after structural relaxation (PBE).

Computed properties:
Space group: No. 123
Energy relative to the lowest polymorph listed for this composition (meV per atom): 0
Raw total energy (eV/atom): -8.417

Lattice parameters (Å, degrees): 3.043 3.043 6.964 90.00 90.00 90.00
Sites, in units of the cell vectors:
U: 0.000 0.000 0.000
Si: 0.500 0.500 0.305
Si: 0.500 0.500 0.695
Tc: 0.000 0.000 0.500